A geometry-optimized Zr2TlSb structure. Source: Alexandria via LeMat-Bulk, functional PBE.

The space group is Cmmm (No. 65) and the conventional cell measures 4.2401, 5.2343 and 8.4003 Å, with angles of 90.00, 90.00 and 90.00 degrees. The asymmetric unit holds Zr at (0.0000, 0.0000, 0.2395), Tl at (0.0000, 0.5000, 0.5000) and Sb at (0.0000, 0.5000, 0.0000).

Its uncorrected formation energy is -0.253 eV/atom. As for the crystal system: orthorhombic.